The following is a PBE-GGA calculation of an optimized crystal structure of GaCuTcO6, from the Alexandria database.

The structure in CIF format:
```
data_GaCuTcO6
_symmetry_space_group_name_H-M 'P 1'
_symmetry_Int_Tables_number 1
_cell_length_a 5.0388
_cell_length_b 5.0388
_cell_length_c 8.7630
_cell_angle_alpha 90.00
_cell_angle_beta 90.00
_cell_angle_gamma 120.00
loop_
_symmetry_equiv_pos_as_xyz
'x,y,z'
loop_
_atom_site_label
_atom_site_fract_x
_atom_site_fract_y
_atom_site_fract_z
Ga1 0.3333 0.6667 0.2500
Ga2 0.6667 0.3333 0.7500
Cu1 0.0000 0.0000 0.0000
Cu2 0.0000 0.0000 0.5000
Tc1 0.3333 0.6667 0.7500
Tc2 0.6667 0.3333 0.2500
O1 0.0110 0.3564 0.6293
O2 0.0110 0.6546 0.8707
O3 0.3454 0.3564 0.8707
O4 0.3454 0.9890 0.6293
O5 0.3564 0.0110 0.1293
O6 0.3564 0.3454 0.3707
O7 0.6436 0.6546 0.6293
O8 0.6436 0.9890 0.8707
O9 0.6546 0.0110 0.3707
O10 0.6546 0.6436 0.1293
O11 0.9890 0.3454 0.1293
O12 0.9890 0.6436 0.3707
```

Results
* formation energy from raw total energies: -1063.1 meV/atom
* size of the total moment: 1.02 μB per formula unit

---

The following is a PBE-GGA calculation of an optimized crystal structure of GaCuTe2O8, from the Alexandria database.

The structure in CIF format:
```
data_GaCuTe2O8
_symmetry_space_group_name_H-M 'P 1'
_symmetry_Int_Tables_number 1
_cell_length_a 5.8340
_cell_length_b 5.8340
_cell_length_c 5.8340
_cell_angle_alpha 110.38
_cell_angle_beta 110.38
_cell_angle_gamma 107.67
loop_
_symmetry_equiv_pos_as_xyz
'x,y,z'
loop_
_atom_site_label
_atom_site_fract_x
_atom_site_fract_y
_atom_site_fract_z
Ga1 0.0000 0.0000 0.0000
Cu1 0.2500 0.7500 0.5000
Te1 0.5000 0.5000 0.0000
Te2 0.7500 0.2500 0.5000
O1 0.3078 0.1050 0.7972
O2 0.3078 0.5107 0.2028
O3 0.3575 0.0663 0.2913
O4 0.4893 0.6922 0.7972
O5 0.7750 0.0663 0.7087
O6 0.8950 0.6922 0.2028
O7 0.9337 0.2250 0.2913
O8 0.9337 0.6425 0.7087
```

Results
* formation energy from raw total energies: -690.3 meV/atom
* size of the total moment: 0.35 μB per formula unit

---

The following is a PBE-GGA calculation of an optimized crystal structure of TiGaCu2O, from the Alexandria database.

The structure in CIF format:
```
data_TiGaCu2O
_symmetry_space_group_name_H-M 'P 1'
_symmetry_Int_Tables_number 1
_cell_length_a 4.9354
_cell_length_b 4.9354
_cell_length_c 3.6746
_cell_angle_alpha 90.00
_cell_angle_beta 90.00
_cell_angle_gamma 90.00
loop_
_symmetry_equiv_pos_as_xyz
'x,y,z'
loop_
_atom_site_label
_atom_site_fract_x
_atom_site_fract_y
_atom_site_fract_z
Ti1 0.0000 0.0000 0.0000
Ga1 0.5000 0.5000 0.5000
Cu1 0.0000 0.5000 0.0000
Cu2 0.5000 0.0000 0.0000
O1 0.0000 0.0000 0.5000
```

Results
* formation energy from raw total energies: -140.6 meV/atom
* size of the total moment: 0.00 μB per formula unit

---

Across the entries above, total energy takes the values -6.312; -5.113; -4.955 eV/atom, respectively.